No. 1
Ac2ZnTe4, relaxed, DFT PBE; N(E_F) = 0.24 states/eV/f.u.; ΔE_f (raw) = -1.20 eV/atom; VASP energy = -30.4 eV per formula unit
1.0
7.5090 0.0000 0.0000
0.0000 7.5839 0.0000
-2.7580 0.0000 8.6543
Ac Zn Te
4 2 8
direct
0.2374 0.2500 0.0587 Ac
0.2366 0.2500 0.5604 Ac
0.7634 0.7500 0.4396 Ac
0.7626 0.7500 0.9413 Ac
0.2385 0.7500 0.3092 Zn
0.7615 0.2500 0.6908 Zn
0.0096 0.5102 0.7538 Te
0.0096 0.9898 0.7538 Te
0.4251 0.7500 0.1042 Te
0.4280 0.7500 0.6079 Te
0.5720 0.2500 0.3921 Te
0.5749 0.2500 0.8958 Te
0.9904 0.0102 0.2462 Te
0.9904 0.4898 0.2462 Te

***

No. 2
CaCoCu2Re, relaxed, DFT PBE; N(E_F) = 6.76 states/eV/f.u.; formation energy from the elements = 205 kJ per mole of atoms; VASP energy = -19.1 eV per formula unit
1.0
4.4697 0.0000 0.0000
0.0000 4.4697 0.0000
0.0000 0.0000 4.1652
Ca Co Cu Re
1 1 2 1
direct
0.0000 0.0000 0.0000 Ca
0.0000 0.0000 0.5000 Co
0.0000 0.5000 0.0000 Cu
0.5000 0.0000 0.0000 Cu
0.5000 0.5000 0.5000 Re

***

No. 3
Ca5SnPd6, relaxed, DFT PBE; N(E_F) = 4.55 states/eV/f.u.; formation energy from the elements = -64 kJ per mole of atoms; VASP energy = -53.1 eV per formula unit
1.0
4.2790 -7.3869 0.0000
4.2790 7.3869 0.0000
-2.8107 0.0000 4.0298
Ca Sn Pd
5 1 6
direct
0.0000 0.0000 0.0000 Ca
0.1660 0.8340 0.5000 Ca
0.3320 0.6680 0.0000 Ca
0.6680 0.3320 0.0000 Ca
0.8340 0.1660 0.5000 Ca
0.5000 0.5000 0.5000 Sn
0.1060 0.4203 0.2642 Pd
0.2734 0.2734 0.7731 Pd
0.4203 0.1060 0.2642 Pd
0.5797 0.8940 0.7358 Pd
0.7266 0.7266 0.2269 Pd
0.8940 0.5797 0.7358 Pd

***

No. 4
CoSbTe2, relaxed, DFT PBE; N(E_F) = 6.64 states/eV/f.u.; ΔE_f (raw) = 0.58 eV/atom; VASP energy = -15.2 eV per formula unit
1.0
5.1438 0.0000 0.0000
0.0000 5.1438 0.0000
0.0000 0.0000 3.5714
Co Sb Te
1 1 2
direct
0.0000 0.0000 0.0000 Co
0.5000 0.5000 0.0000 Sb
0.0000 0.5000 0.5000 Te
0.5000 0.0000 0.5000 Te

***

No. 5
CeErPuO6, relaxed, DFT PBE; N(E_F) = 10.28 states/eV/f.u.; ΔE_f (raw) = -3.12 eV/atom; VASP energy = -82.7 eV per formula unit
1.0
5.7263 0.0000 0.0000
-2.8631 4.9591 0.0000
0.0000 0.0000 9.5230
Ce Er Pu O
2 2 2 12
direct
0.0000 0.0000 0.0000 Ce
0.0000 0.0000 0.5000 Ce
0.3333 0.6667 0.2500 Er
0.6667 0.3333 0.7500 Er
0.3333 0.6667 0.7500 Pu
0.6667 0.3333 0.2500 Pu
0.0168 0.3490 0.6327 O
0.0168 0.6678 0.8673 O
0.3322 0.3490 0.8673 O
0.3322 0.9832 0.6327 O
0.3490 0.0168 0.1327 O
0.3490 0.3322 0.3673 O
0.6510 0.6678 0.6327 O
0.6510 0.9832 0.8673 O
0.6678 0.0168 0.3673 O
0.6678 0.6510 0.1327 O
0.9832 0.3322 0.1327 O
0.9832 0.6510 0.3673 O

***

No. 6
TaBRu3, relaxed, DFT PBE; N(E_F) = 4.75 states/eV/f.u.; formation energy from the elements = 32 kJ per mole of atoms; VASP energy = -44.7 eV per formula unit
1.0
-2.4022 2.4022 6.7556
2.4022 -2.4022 6.7556
2.4022 2.4022 -6.7556
Ta B Ru
2 2 6
direct
0.1944 0.1944 0.0000 Ta
0.8056 0.8056 0.0000 Ta
0.5000 0.5000 0.0000 B
0.7500 0.2500 0.5000 B
0.0782 0.5782 0.5000 Ru
0.1229 0.3811 0.7418 Ru
0.4218 0.9218 0.5000 Ru
0.6189 0.3608 0.7418 Ru
0.6189 0.8771 0.2582 Ru
0.6392 0.3811 0.2582 Ru

***

No. 7
KTa2RuCl, relaxed, DFT PBE; N(E_F) = 7.69 states/eV/f.u.; ΔE_f (raw) = 2.97 eV/atom; VASP energy = -21.1 eV per formula unit
1.0
4.7832 0.0000 0.0000
0.0000 4.7832 0.0000
0.0000 0.0000 4.8854
K Ta Ru Cl
1 2 1 1
direct
0.0000 0.0000 0.0000 K
0.0000 0.5000 0.0000 Ta
0.5000 0.0000 0.0000 Ta
0.5000 0.5000 0.5000 Ru
0.0000 0.0000 0.5000 Cl

***

No. 8
CePaCd17, relaxed, DFT PBE; N(E_F) = 17.89 states/eV/f.u.; formation energy from the elements = -3 kJ per mole of atoms; VASP energy = -31.5 eV per formula unit
1.0
5.0278 2.9028 5.0056
-5.0278 2.9028 5.0056
0.0000 -5.8056 5.0056
Ce Pa Cd
1 1 17
direct
0.0000 0.0000 0.0000 Ce
0.3366 0.3366 0.3366 Pa
0.0411 0.0411 0.4617 Cd
0.0411 0.4617 0.0411 Cd
0.1426 0.6868 0.6868 Cd
0.3200 0.3200 0.7907 Cd
0.3200 0.7907 0.3200 Cd
0.3651 0.6634 0.9697 Cd
0.3651 0.9697 0.6634 Cd
0.4617 0.0411 0.0411 Cd
0.5610 0.5610 0.5610 Cd
0.6634 0.3651 0.9697 Cd
0.6634 0.9697 0.3651 Cd
0.6868 0.1426 0.6868 Cd
0.6868 0.6868 0.1426 Cd
0.7579 0.7579 0.7579 Cd
0.7907 0.3200 0.3200 Cd
0.9697 0.3651 0.6634 Cd
0.9697 0.6634 0.3651 Cd